Below is a relaxed structure of La2PrN, with properties calculated at the GGA-PBE level.

The space group is Pmmn (No. 59, origin choice 2) and the conventional cell measures 5.252, 12.007 and 3.645 Å, with angles of 90.00, 90.00 and 90.00 degrees. The inequivalent atoms are La at (0.250, 0.105, 0.223), Pr at (0.250, 0.750, 0.282) and N at (0.250, 0.250, 0.718).

As for the total energy: -6.367 eV per atom. For the density of states at the Fermi level, the calculation gives 10.1 states/eV/cell. For the volume, the calculation gives 115 Å³/f.u. Its polymorph energy (0 for the lowest one) is 6 kJ/mol of formula units. As for the crystal system: orthorhombic.